The following is a DFT calculation (PBE) of Ac2MgSn4Au3 after structural relaxation.

- volume (Å³ per atom) = 26.082
- N(E_F) (states/eV per cell) = 2.03
- E_tot (eV/atom) = -4.183
- formation energy (eV/atom) = -0.617

Geometry as POSCAR:
```
Ac2MgSn4Au3
1.0
4.647 0.000 0.000
0.000 4.647 0.000
0.000 0.000 12.080
Ac Mg Sn Au
2 1 4 3
Direct
0.500 0.000 0.249
0.000 0.500 0.751
0.500 0.500 0.500
0.500 0.500 0.000
0.000 0.000 0.000
0.500 0.000 0.637
0.000 0.500 0.363
0.000 0.000 0.500
0.500 0.000 0.860
0.000 0.500 0.140
```